{"formula": "Pm7Pr2Ho2", "functional": "GGA-PBE", "state": "optimized geometry", "space_group": "C2/m, No. 12", "formation_enthalpy_0k_ev_per_atom": 0.17, "density_g_cm3": 7.035, "cell": [[8.378, 0.987, 1.424], [0.140, 6.660, 1.331], [0.140, -1.093, 6.704]], "species": ["Pm", "Pm", "Pm", "Pm", "Pm", "Pm", "Pm", "Pr", "Pr", "Ho", "Ho"], "frac_coords": [[0.813, 0.903, 0.498], [0.517, 0.304, 0.304], [0.813, 0.498, 0.903], [0.187, 0.097, 0.502], [0.000, 0.000, 0.000], [0.483, 0.696, 0.696], [0.187, 0.502, 0.097], [0.849, 0.399, 0.399], [0.151, 0.601, 0.601], [0.500, 0.188, 0.812], [0.500, 0.812, 0.188]]}



{"formula": "NbCuSi", "functional": "GGA-PBE", "state": "optimized geometry", "raw_formation_energy_kcal_per_mol_atoms": -9.746, "space_group": "Imma, No. 74", "density_g_cm3": 7.398, "cell": [[4.842, 0.000, 0.000], [0.000, 5.009, 0.000], [0.000, 0.000, 6.831]], "species": ["Nb", "Nb", "Nb", "Nb", "Cu", "Cu", "Cu", "Cu", "Si", "Si", "Si", "Si"], "frac_coords": [[0.000, 0.750, 0.632], [0.000, 0.250, 0.368], [0.500, 0.750, 0.868], [0.500, 0.250, 0.132], [0.250, 0.750, 0.250], [0.750, 0.750, 0.250], [0.250, 0.250, 0.750], [0.750, 0.250, 0.750], [0.500, 0.000, 0.500], [0.500, 0.500, 0.500], [0.000, 0.000, 0.000], [0.000, 0.500, 0.000]]}